(1)
Below is a relaxed Pm2DyI6 crystal, with properties calculated at the PBE level.

Unit cell a=7.6546 b=7.6546 c=8.3896 alpha=62.86 beta=62.86 gamma=60.00
Element x y z (fractional)
I  0.4173  0.1040  0.6976
I  0.1040  0.7811  0.6976
I  0.2535  0.6050  0.1941
I  0.9475  0.2535  0.1941
I  0.6050  0.9475  0.1941
I  0.7811  0.4173  0.6976
Dy  0.3553  0.3553  0.9341
Pm  0.5193  0.5193  0.4422
Pm  0.6828  0.6828  0.9516

Properties
Energy relative to the elements, uncorrected = -1.1962 eV/atom
Polymorph energy (0 for the lowest one) = 0.061 eV/atom

=====

(2)
Below is a relaxed PmDyI3 crystal, with properties calculated at the PBE level.

Unit cell a=4.1508 b=10.7436 c=12.4189 alpha=59.11 beta=80.38 gamma=78.86
Element x y z (fractional)
Dy  0.5720  0.8278  0.0282
Dy  0.4280  0.1722  0.9718
I  0.6369  0.1933  0.5329
I  0.9248  0.3852  0.7651
I  0.3631  0.8067  0.4671
I  0.8131  0.2396  0.1343
I  0.1869  0.7604  0.8657
I  0.0752  0.6148  0.2349
Pm  0.9247  0.9014  0.2492
Pm  0.0753  0.0986  0.7508

Properties
Energy relative to the elements, uncorrected = -1.1012 eV/atom
Polymorph energy (0 for the lowest one) = 0.000 eV/atom

=====

(3)
Below is a relaxed PmDy2I crystal, with properties calculated at the PBE level.

Unit cell a=3.7729 b=3.7729 c=10.7599 alpha=79.90 beta=79.90 gamma=60.00
Element x y z (fractional)
Pm  0.4998  0.4998  0.5007
I  0.6666  0.6666  0.0001
Dy  0.2558  0.2558  0.2327
Dy  0.0778  0.0778  0.7665

Properties
Energy relative to the elements, uncorrected = -0.3222 eV/atom
Polymorph energy (0 for the lowest one) = 0.034 eV/atom

=====

(4)
Below is a relaxed Pm2DyI6 crystal, with properties calculated at the PBE level.

Unit cell a=8.1066 b=7.2536 c=7.2536 alpha=120.00 beta=90.00 gamma=90.00
Element x y z (fractional)
Pm  0.5000  0.6667  0.3333
Pm  0.5000  0.3333  0.6667
I  0.2530  0.6745  0.0000
I  0.2530  0.3255  0.3255
I  0.2530  0.0000  0.6745
I  0.7470  0.6745  0.6745
I  0.7470  0.3255  0.0000
I  0.7470  0.0000  0.3255
Dy  0.5000  0.0000  0.0000

Properties
Energy relative to the elements, uncorrected = -1.2568 eV/atom
Polymorph energy (0 for the lowest one) = 0.000 eV/atom

=====

(5)
Below is a relaxed PmDy2I8 crystal, with properties calculated at the PBE level.

Unit cell a=7.3935 b=10.3652 c=10.3652 alpha=51.99 beta=93.56 gamma=93.56
Site moments in Bohr magnetons follow the coordinates.
Element x y z (fractional)
Pm  0.0000  0.0000  0.0000  0.33
Dy  0.5974  0.8534  0.8534  0.15
Dy  0.4026  0.1466  0.1466  0.15
I  0.2549  0.8118  0.3176  0.00
I  0.7451  0.1882  0.6824  0.00
I  0.6798  0.7073  0.7073  0.00
I  0.2549  0.3176  0.8118  0.00
I  0.3202  0.2927  0.2927  0.00
I  0.1977  0.8534  0.8534  0.00
I  0.8023  0.1466  0.1466  0.00
I  0.7451  0.6824  0.1882  0.00

Properties
Energy relative to the elements, uncorrected = -1.2274 eV/atom

=====

(6)
Below is a relaxed Pm3DyI8 crystal, with properties calculated at the PBE level.

Unit cell a=8.3876 b=8.3789 c=9.4975 alpha=116.42 beta=90.00 gamma=120.03
Element x y z (fractional)
Pm  0.5000  0.5000  0.0000
Pm  0.0000  0.5000  0.0000
Pm  0.5000  0.0000  0.0000
I  0.7548  0.5096  0.7546
I  0.2452  0.4904  0.2454
I  0.2432  0.9980  0.7546
I  0.2489  0.4978  0.7486
I  0.2452  0.0020  0.2454
I  0.7511  0.5022  0.2514
I  0.7568  0.0020  0.2454
I  0.7548  0.9980  0.7546
Dy  0.0000  0.0000  0.0000

Properties
Energy relative to the elements, uncorrected = -1.2637 eV/atom

=====

(7)
Below is a relaxed PmDyI2 crystal, with properties calculated at the PBE level.

Unit cell a=3.8895 b=3.8895 c=10.9828 alpha=79.80 beta=79.80 gamma=60.00
Element x y z (fractional)
Pm  0.5000  0.5000  0.5000
Dy  0.0000  0.0000  0.0000
I  0.0957  0.0957  0.7129
I  0.9043  0.9043  0.2871

Properties
Energy relative to the elements, uncorrected = -0.7016 eV/atom
Polymorph energy (0 for the lowest one) = 0.052 eV/atom

=====

(8)
Below is a relaxed PmDyI3 crystal, with properties calculated at the PBE level.

Unit cell a=3.9458 b=8.4156 c=12.4514 alpha=117.28 beta=90.00 gamma=90.00
Element x y z (fractional)
Dy  0.2500  0.1261  0.1374
Dy  0.7500  0.8739  0.8626
I  0.2500  0.2094  0.4104
I  0.2500  0.1881  0.9086
I  0.7500  0.7906  0.5896
I  0.7500  0.8119  0.0914
I  0.2500  0.5513  0.7710
I  0.7500  0.4487  0.2290
Pm  0.2500  0.1161  0.6341
Pm  0.7500  0.8839  0.3659

Properties
Energy relative to the elements, uncorrected = -0.9984 eV/atom
Polymorph energy (0 for the lowest one) = 0.103 eV/atom

=====

Record-wise DOS at the Fermi energy values, in states/eV/cell: 6.271, 1.705, 5.920, 5.506, 0.410, 5.882, 2.625, 7.992